First-principles (PBE+U) data for an optimized crystal structure of HfW2O8, as listed in Alexandria via LeMat-Bulk.

Calculated values
The space group is C2/m. Its magnetic moment is 0.00 μB per cell. For the final energy, the calculation gives -85.70 eV for the cell shown.

Lattice parameters (Å, degrees): 3.8246 5.5233 5.5233 111.18 97.05 97.05
With the nearest neighbours (Å) after each atom.
Atoms (fractional coordinates):
Hf: 0.5000 0.0000 0.0000  4 O 2.23-2.33
W: 0.0000 0.3226 0.6774  8 O 2.03-2.07
W: 0.0000 0.6774 0.3226  8 O 2.03-2.07
O: 0.9389 0.9469 0.6827  2 W 2.07, 1 O 2.26
O: 0.9389 0.6827 0.9469  2 W 2.07, 1 O 2.26
O: 0.3017 0.6196 0.6196  2 W 2.03
O: 0.5000 0.7557 0.2443  2 W 2.04, 1 Hf 2.23
O: 0.5000 0.2443 0.7557  2 W 2.04, 1 Hf 2.23
O: 0.6983 0.3804 0.3804  2 W 2.03
O: 0.0611 0.3173 0.0531  2 W 2.07, 1 O 2.26
O: 0.0611 0.0531 0.3173  2 W 2.07, 1 O 2.26